# 1
A relaxed PuSnHgBr6 crystal, computed with GGA-PBE.

```
PuSnHgBr6
1.0
7.5364 -0.0007 0.0001
3.7676 6.5260 0.0002
-0.0006 -0.0015 8.2022
Br Sn Hg Pu
6 1 1 1
Direct
0.6259 0.0175 0.3062 Br
0.3566 0.0176 0.6938 Br
0.0173 0.6261 0.6939 Br
0.3566 0.6259 0.3062 Br
0.0174 0.3565 0.3061 Br
0.6260 0.3566 0.6938 Br
0.6668 0.6664 0.5000 Sn
0.0000 0.0000 0.0000 Hg
0.3332 0.3334 0.5000 Pu
```

The space-group type is P312. The value obtained for the energy relative to the elements, uncorrected is -848 kJ/mol of formula units. The magnetization comes out at 4.0 μB/f.u.

# 2
A relaxed La2Dy7Ho4 crystal, computed with GGA-PBE.

```
La2Dy7Ho4
1.0
6.0837 0.0000 0.0000
-3.0419 5.2687 0.0000
0.0000 0.0000 13.3311
Dy Ho La
7 4 2
Direct
0.3554 0.3554 0.2181 Dy
0.0000 0.0000 0.0000 Dy
0.0000 0.3554 0.7819 Dy
0.0000 0.6446 0.2181 Dy
0.3554 0.0000 0.7819 Dy
0.6446 0.0000 0.2181 Dy
0.6446 0.6446 0.7819 Dy
0.0000 0.0000 0.6049 Ho
0.0000 0.0000 0.3951 Ho
0.6667 0.3333 0.5000 Ho
0.3333 0.6667 0.5000 Ho
0.6667 0.3333 0.0000 La
0.3333 0.6667 0.0000 La
```

The space-group type is P-31m. As for the formation enthalpy at 0 K: 241.5 kJ/mol of formula units. The magnetization comes out at 0.0 μB/f.u.

# 3
A relaxed Re2SiPt crystal, computed with GGA-PBE.

```
Re2SiPt
1.0
-2.1195 -1.2001 4.0788
-1.3327 -2.6211 -3.7314
2.0989 -1.8464 0.5474
Pt Re Si
1 2 1
Direct
0.0000 0.5000 0.5000 Pt
0.0000 0.0000 0.0000 Re
0.5000 0.5000 0.0000 Re
0.5000 0.0000 0.5000 Si
```

The space-group type is Cmmm. The value obtained for the energy relative to the elements, uncorrected is 47 kJ/mol of formula units. The magnetization comes out at 0.0 μB/f.u.

# 4
A relaxed TlSi2Mo crystal, computed with GGA-PBE.

```
TlSi2Mo
1.0
-0.7109 0.2067 2.9182
-1.8985 -2.0638 -1.0954
5.5027 -5.9990 1.7654
Mo Si Tl
1 2 1
Direct
0.5000 0.5000 0.8015 Mo
0.5000 0.5000 0.1905 Si
0.0000 0.0000 0.9971 Si
0.0000 0.0000 0.5109 Tl
```

The space-group type is Cmm2. The value obtained for the energy relative to the elements, uncorrected is 194 kJ/mol of formula units. The magnetization comes out at 0.0 μB/f.u.

# 5
A relaxed LaGd2Cd crystal, computed with GGA-PBE.

```
LaGd2Cd
1.0
-0.2667 -1.7155 -3.2824
-2.8285 -2.0301 1.2909
-5.7904 6.2798 -2.8116
Gd La Cd
2 1 1
Direct
0.0000 0.0000 0.7827 Gd
0.0000 0.0000 0.2173 Gd
0.5000 0.5000 0.5000 La
0.5000 0.5000 0.0000 Cd
```

The space-group type is P4/mmm. As for the formation enthalpy at 0 K: -61.0 kJ/mol of formula units. The magnetization comes out at 15.2 μB/f.u.

# 6
A relaxed AlW2Se crystal, computed with GGA-PBE.

```
AlW2Se
1.0
5.2806 -0.0015 0.0108
2.3089 4.7490 -0.0108
-3.2448 -3.2530 2.6027
W Al Se
2 1 1
Direct
0.5003 0.5003 0.0000 W
0.9997 0.9997 0.0000 W
0.7500 0.2500 0.5000 Al
0.2500 0.7500 0.5000 Se
```

The space-group type is Immm. The value obtained for the energy relative to the elements, uncorrected is 193 kJ/mol of formula units. The magnetization comes out at 0.0 μB/f.u.

# 7
A relaxed NiAsSe2 crystal, computed with GGA-PBE.

```
NiAsSe2
1.0
-2.5698 1.5233 -1.9193
-0.2679 -2.9402 -1.9750
-4.5629 -2.4055 4.2001
As Se Ni
1 2 1
Direct
0.0000 0.0000 0.5128 As
0.0000 0.0000 0.8860 Se
0.5000 0.5000 0.3654 Se
0.5000 0.5000 0.7358 Ni
```

The space-group type is P4mm. The value obtained for the energy relative to the elements, uncorrected is 54 kJ/mol of formula units. The magnetization comes out at 0.0 μB/f.u.

# 8
A relaxed Sr2Tl5Hg3 crystal, computed with GGA-PBE.

```
Sr2Tl5Hg3
1.0
7.0923 0.0000 0.0000
3.5462 9.5526 -0.2132
3.5462 1.2628 9.4712
Sr Tl Hg
4 10 6
Direct
0.8766 0.3656 0.8811 Sr
0.3766 0.8811 0.3656 Sr
0.6234 0.1189 0.6344 Sr
0.1234 0.6344 0.1189 Sr
0.2500 0.5000 0.5000 Tl
0.4932 0.2568 0.2568 Tl
0.1217 0.0111 0.7456 Tl
0.5068 0.7432 0.7432 Tl
0.6217 0.7456 0.0111 Tl
0.0068 0.7432 0.7432 Tl
0.8783 0.9889 0.2544 Tl
0.9932 0.2568 0.2568 Tl
0.7500 0.5000 0.5000 Tl
0.3783 0.2544 0.9889 Tl
0.3771 0.4805 0.7653 Hg
0.8771 0.7653 0.4805 Hg
0.6229 0.5195 0.2347 Hg
0.2500 0.0000 0.0000 Hg
0.7500 0.0000 0.0000 Hg
0.1229 0.2347 0.5195 Hg
```

The space-group type is Ibam. As for the formation enthalpy at 0 K: -190.8 kJ/mol of formula units. The magnetization comes out at 0.0 μB/f.u.

# 9
A relaxed BaPRh crystal, computed with GGA-PBE.

```
BaPRh
1.0
0.0000 3.4151 3.4151
3.4151 0.0000 3.4151
3.4151 3.4151 0.0000
P Ba Rh
1 1 1
Direct
0.2500 0.2500 0.2500 P
0.5000 0.5000 0.5000 Ba
0.0000 0.0000 0.0000 Rh
```

The space-group type is F-43m. As for the formation enthalpy at 0 K: 19.0 kJ/mol of formula units. The magnetization comes out at 1.7 μB/f.u.

# 10
A relaxed Ce2Th9Sc crystal, computed with GGA-PBE.

```
Ce2Th9Sc
1.0
4.9634 0.0000 0.0000
0.0000 4.9634 0.0000
0.0000 0.0000 14.9880
Sc Th Ce
1 9 2
Direct
0.0000 0.0000 0.0000 Sc
0.5000 0.5000 0.6649 Th
0.0000 0.5000 0.8339 Th
0.0000 0.5000 0.5000 Th
0.0000 0.5000 0.1661 Th
0.5000 0.0000 0.8339 Th
0.5000 0.0000 0.5000 Th
0.5000 0.5000 0.3351 Th
0.5000 0.5000 0.0000 Th
0.5000 0.0000 0.1661 Th
0.0000 0.0000 0.3320 Ce
0.0000 0.0000 0.6680 Ce
```

The space-group type is P4/mmm. As for the formation enthalpy at 0 K: 34.9 kJ/mol of formula units. The magnetization comes out at 0.0 μB/f.u.

# 11
A relaxed TbHoTeS crystal, computed with GGA-PBE.

```
TbHoTeS
1.0
4.0167 -0.0010 -0.0003
-2.0083 3.4798 0.0001
-2.0078 -1.1591 7.1156
S Ho Tb Te
1 1 1 1
Direct
0.3085 0.5522 0.8760 S
0.1070 0.9515 0.0736 Ho
0.4966 0.1463 0.6582 Tb
0.9658 0.3809 0.3618 Te
```

The space-group type is R3m. The value obtained for the energy relative to the elements, uncorrected is -650 kJ/mol of formula units. The magnetization comes out at 0.0 μB/f.u.

# 12
A relaxed Pm6Sb3TeP2 crystal, computed with GGA-PBE.

```
Pm6Sb3TeP2
1.0
4.3501 0.0000 0.0000
0.0000 8.7808 0.3219
-2.1751 -2.5190 9.1713
Pm Sb P Te
6 3 2 1
Direct
0.6718 0.1043 0.3437 Pm
0.3276 0.4286 0.6551 Pm
0.6724 0.5714 0.3449 Pm
0.0098 0.2605 0.0196 Pm
0.3282 0.8957 0.6563 Pm
0.9902 0.7395 0.9804 Pm
0.8382 0.1673 0.6764 Sb
0.1618 0.8327 0.3236 Sb
0.5000 0.5000 0.0000 Sb
0.8312 0.6644 0.6623 P
0.1688 0.3356 0.3377 P
0.5000 0.0000 0.0000 Te
```

The space-group type is C2/m. The value obtained for the energy relative to the elements, uncorrected is -1563 kJ/mol of formula units. The magnetization comes out at 0.0 μB/f.u.

# 13
A relaxed Si2Pd2C crystal, computed with GGA-PBE.

```
Si2Pd2C
1.0
5.4692 0.0000 0.0000
0.0000 5.4692 0.0000
0.0000 0.0000 4.3224
Pd Si C
4 4 2
Direct
0.8204 0.3204 0.5000 Pd
0.3204 0.1796 0.5000 Pd
0.6796 0.8204 0.5000 Pd
0.1796 0.6796 0.5000 Pd
0.1586 0.3414 0.0000 Si
0.3414 0.8414 0.0000 Si
0.6586 0.1586 0.0000 Si
0.8414 0.6586 0.0000 Si
0.5000 0.5000 0.0000 C
0.0000 0.0000 0.0000 C
```

The space-group type is P4/mbm. The value obtained for the energy relative to the elements, uncorrected is 201 kJ/mol of formula units. The magnetization comes out at 0.0 μB/f.u.

# 14
A relaxed KNaNb3 crystal, computed with GGA-PBE.

```
KNaNb3
1.0
-0.7119 0.1283 -4.9439
0.3953 -4.9774 -0.1861
-4.9297 -0.4177 0.6990
Nb K Na
3 1 1
Direct
0.5000 0.0000 0.0000 Nb
0.0000 0.5000 0.0000 Nb
0.0000 0.0000 0.5000 Nb
0.5000 0.5000 0.5000 K
0.0000 0.0000 0.0000 Na
```

The space-group type is Pm-3m. As for the formation enthalpy at 0 K: 1161.8 kJ/mol of formula units. The magnetization comes out at 0.0 μB/f.u.

# 15
A relaxed Ba2C crystal, computed with GGA-PBE.

```
Ba2C
1.0
-7.5031 -2.5434 -0.3330
-6.3983 -3.0315 3.5704
-7.5834 0.6406 2.2264
Ba C
2 1
Direct
0.2622 0.2622 0.2622 Ba
0.4045 0.4045 0.4045 Ba
0.0000 0.0000 0.0000 C
```

The space-group type is R3m. As for the formation enthalpy at 0 K: 203.3 kJ/mol of formula units. The magnetization comes out at 0.0 μB/f.u.

# 16
A relaxed AsRu2 crystal, computed with GGA-PBE.

```
AsRu2
1.0
4.5370 0.0018 -0.0004
1.8572 4.1394 0.0004
-2.7802 -2.7143 2.3425
Ru As
2 1
Direct
0.3235 0.3235 0.0000 Ru
0.6765 0.6765 0.0000 Ru
0.0000 0.0000 0.0000 As
```

The space-group type is Immm. As for the formation enthalpy at 0 K: 60.5 kJ/mol of formula units. The magnetization comes out at 0.0 μB/f.u.

# 17
A relaxed AcY2ErS6 crystal, computed with GGA-PBE.

```
AcY2ErS6
1.0
7.0686 0.0001 0.0006
3.5344 6.1214 0.0004
3.5344 2.0409 6.2106
S Er Y Ac
6 1 2 1
Direct
0.2280 0.9171 0.2431 S
0.1552 0.3742 0.7471 S
0.7236 0.1552 0.7471 S
0.3741 0.7236 0.7470 S
0.6118 0.2281 0.2431 S
0.9172 0.6117 0.2432 S
0.3171 0.3171 0.0487 Er
0.0123 0.0123 0.9631 Y
0.5201 0.5201 0.4397 Y
0.8022 0.8022 0.5933 Ac
```

The space-group type is R3. The value obtained for the energy relative to the elements, uncorrected is -2002 kJ/mol of formula units. The magnetization comes out at 0.0 μB/f.u.

# 18
A relaxed KYHf crystal, computed with GGA-PBE.

```
KYHf
1.0
18.0009 0.0000 -0.1116
0.0000 3.4157 0.0000
0.0390 0.0000 3.4150
Y Hf K
2 2 2
Direct
0.7235 0.0000 0.4416 Y
0.8680 0.5000 0.9375 Y
0.1064 0.5000 0.9308 Hf
0.0035 0.0000 0.4338 Hf
0.2904 0.0000 0.4276 K
0.5276 0.5000 0.9523 K
```

The space-group type is Pm. As for the formation enthalpy at 0 K: 95.6 kJ/mol of formula units. The magnetization comes out at 0.0 μB/f.u.

# 19
A relaxed Dy6Bi3TeAs2 crystal, computed with GGA-PBE.

```
Dy6Bi3TeAs2
1.0
-2.4197 -3.5789 0.0251
6.9247 -4.6645 2.4816
-2.6809 4.4775 8.1707
Dy Bi As Te
6 3 2 1
Direct
0.0095 0.2569 0.0191 Dy
0.3274 0.4295 0.6547 Dy
0.6711 0.1033 0.3422 Dy
0.9905 0.7431 0.9809 Dy
0.3289 0.8967 0.6578 Dy
0.6726 0.5705 0.3453 Dy
0.1618 0.8323 0.3236 Bi
0.8382 0.1677 0.6764 Bi
0.5000 0.5000 0.0000 Bi
0.1683 0.3344 0.3367 As
0.8317 0.6656 0.6633 As
0.5000 0.0000 0.0000 Te
```

The space-group type is C2/m. The value obtained for the energy relative to the elements, uncorrected is -1341 kJ/mol of formula units. The magnetization comes out at 0.0 μB/f.u.

# 20
A relaxed KIn4Te crystal, computed with GGA-PBE.

```
KIn4Te
1.0
-5.9639 -1.9198 -1.4822
-4.9952 3.9304 1.0252
-3.0881 2.6498 -4.9893
In K Te
4 1 1
Direct
0.3750 0.3750 0.3750 In
0.3750 0.8749 0.3750 In
0.8749 0.3750 0.3750 In
0.3750 0.3750 0.8749 In
0.7500 0.7500 0.7500 K
0.0000 0.0000 0.0000 Te
```

The space-group type is F-43m. The value obtained for the energy relative to the elements, uncorrected is -44 kJ/mol of formula units. The magnetization comes out at 0.0 μB/f.u.

The evaluated V for the records listed, in turn: 44.8, 32.9, 14.7, 18.3, 31.0, 16.3, 21.0, 32.2, 26.6, 30.8, 24.9, 29.5, 12.9, 24.9, 36.5, 14.7, 26.9, 35.0, 28.8, 31.5 Å³ per atom.
The evaluated Fermi-level density of states for the records listed, in turn: 5.75, 19.35, 4.24, 2.91, 4.82, 3.03, 3.75, 8.06, 2.88, 22.56, 0.21, 2.32, 3.62, 8.13, 3.72, 3.25, 0.00, 8.44, 2.34, 3.10 states/eV/cell.
The evaluated final energy for the records listed, in turn: -4.16, -4.45, -8.97, -5.51, -8.66, -7.78, -4.21, -1.81, -4.83, -7.05, -5.80, -5.92, -5.67, -4.12, -3.65, -7.52, -6.71, -5.51, -5.47, -2.61 eV/atom.